Density functional theory data (PBE) for a geometry-optimized DyPuCuAg structure.

Electronic total energy ... -6.485 eV per atom
Magnetization ... 1.415 μB per atom
Formation enthalpy at 0 K ... -0.01 eV/atom
Space-group type ... No. 216

a = 5.0677 Å, b = 5.0677 Å, c = 5.0677 Å
α = 60.00°, β = 60.00°, γ = 60.00°
Fractional coordinates of all 4 atoms:
1 Dy 0.0000 0.0000 0.0000
2 Cu 0.7500 0.7500 0.7500
3 Ag 0.2500 0.2500 0.2500
4 Pu 0.5000 0.5000 0.5000